Below is a geometry-optimized Cu2SbP structure, with properties calculated at the GGA-PBE level.

Cell and atoms, written as POSCAR:
```
Cu2SbP
1.0
4.577 0.000 0.000
2.288 3.963 0.000
2.288 1.321 3.737
Sb Cu P
1 2 1
Cartesian
6.865 3.963 2.803
2.288 1.321 0.934
0.000 0.000 0.000
4.577 2.642 1.868
```

Computed properties:
Relative energy among the computed polymorphs ... 0.3808 eV/atom
ΔE_f (raw) ... 1.951 eV/f.u.
Magnetic moment ... 0.000 μB/atom
SG ... F-43m (216)
N(E_F) ... 1.09 states/eV/f.u.

Below is a geometry-optimized Cu3SbP structure, with properties calculated at the GGA-PBE level.

Cell and atoms, written as POSCAR:
```
Cu3SbP
1.0
-1.031 -1.235 4.155
-1.669 -3.828 -1.552
4.001 -1.916 0.423
Cu Sb P
3 1 1
Cartesian
-0.515 -0.618 2.078
-0.835 -1.914 -0.776
2.000 -0.958 0.211
0.650 -3.490 1.513
0.000 0.000 0.000
```

Computed properties:
Relative energy among the computed polymorphs ... 0.0000 eV/atom
ΔE_f (raw) ... 1.571 eV/f.u.
Magnetic moment ... 0.000 μB/atom
SG ... Pm-3m (221)
N(E_F) ... 4.77 states/eV/f.u.

Below is a geometry-optimized CuSbP2 structure, with properties calculated at the GGA-PBE level.

Cell and atoms, written as POSCAR:
```
CuSbP2
1.0
3.366 -0.012 0.000
0.012 3.366 0.000
0.000 0.000 6.198
P Cu Sb
2 1 1
Cartesian
0.000 0.000 5.733
0.000 0.000 3.564
1.689 1.677 4.649
1.689 1.677 1.550
```

Computed properties:
ΔE_f (raw) ... 1.412 eV/f.u.
Magnetic moment ... 0.000 μB/atom
SG ... P4/mmm (123)
N(E_F) ... 1.40 states/eV/f.u.

Below is a geometry-optimized Cu2SbP structure, with properties calculated at the GGA-PBE level.

Cell and atoms, written as POSCAR:
```
Cu2SbP
1.0
6.118 0.005 0.000
4.140 4.504 0.000
-5.074 -2.380 2.453
Sb Cu P
1 2 1
Cartesian
2.651 2.432 1.227
0.055 0.024 0.000
2.295 -0.408 1.226
5.311 2.334 0.000
```

Computed properties:
Relative energy among the computed polymorphs ... 0.0571 eV/atom
ΔE_f (raw) ... 0.657 eV/f.u.
Magnetic moment ... 0.000 μB/atom
SG ... Imm2 (44)
N(E_F) ... 1.52 states/eV/f.u.

Below is a geometry-optimized CuSbP2 structure, with properties calculated at the GGA-PBE level.

Cell and atoms, written as POSCAR:
```
CuSbP2
1.0
8.656 -0.041 -0.024
8.052 3.177 -0.024
8.052 1.511 2.795
P Cu Sb
2 1 1
Cartesian
6.983 1.311 0.775
24.751 4.646 2.746
18.238 3.424 2.023
11.925 2.239 1.323
```

Computed properties:
ΔE_f (raw) ... 0.833 eV/f.u.
Magnetic moment ... 0.000 μB/atom
SG ... R3m (160)
N(E_F) ... 3.44 states/eV/f.u.

Below is a geometry-optimized CuSbP2 structure, with properties calculated at the GGA-PBE level.

Cell and atoms, written as POSCAR:
```
CuSbP2
1.0
-2.452 -0.702 2.678
2.042 -3.874 0.853
3.259 0.903 3.220
P Sb Cu
2 1 1
Cartesian
2.889 -1.333 2.295
3.021 0.751 2.962
0.100 -1.094 2.358
2.750 -2.579 4.394
```

Computed properties:
ΔE_f (raw) ... 0.483 eV/f.u.
Magnetic moment ... 0.000 μB/atom
SG ... P2/m (10)
N(E_F) ... 1.93 states/eV/f.u.

Below is a geometry-optimized CuSb2P2 structure, with properties calculated at the GGA-PBE level.

Cell and atoms, written as POSCAR:
```
CuSb2P2
1.0
-1.875 1.869 4.808
-0.304 -5.147 1.882
2.231 -1.396 4.545
Sb P Cu
2 2 1
Cartesian
-0.367 -0.583 6.349
0.419 -4.091 4.887
-0.050 -3.122 7.460
0.103 -1.552 3.776
0.000 0.000 0.000
```

Computed properties:
Relative energy among the computed polymorphs ... 0.0000 eV/atom
ΔE_f (raw) ... 1.386 eV/f.u.
Magnetic moment ... 0.000 μB/atom
SG ... I4/mmm (139)
N(E_F) ... 2.68 states/eV/f.u.

Below is a geometry-optimized CuSbP2 structure, with properties calculated at the GGA-PBE level.

Cell and atoms, written as POSCAR:
```
CuSbP2
1.0
4.603 0.000 0.000
2.301 3.986 0.000
2.301 1.329 3.758
P Sb Cu
2 1 1
Cartesian
2.301 1.329 0.940
0.000 0.000 0.000
6.904 3.986 2.819
4.603 2.657 1.879
```

Computed properties:
ΔE_f (raw) ... 2.473 eV/f.u.
Magnetic moment ... 0.000 μB/atom
SG ... F-43m (216)
N(E_F) ... 2.32 states/eV/f.u.

Below is a geometry-optimized Cu2SbP structure, with properties calculated at the GGA-PBE level.

Cell and atoms, written as POSCAR:
```
Cu2SbP
1.0
-0.258 3.027 0.265
-1.100 -0.720 2.751
6.694 0.329 2.762
Cu P Sb
2 1 1
Cartesian
2.955 0.145 1.219
0.392 0.019 0.162
0.995 1.236 2.199
4.342 1.400 3.580
```

Computed properties:
Relative energy among the computed polymorphs ... 0.1997 eV/atom
ΔE_f (raw) ... 1.227 eV/f.u.
Magnetic moment ... 0.000 μB/atom
SG ... Cmmm (65)
N(E_F) ... 1.64 states/eV/f.u.

Below is a geometry-optimized CuSbP2 structure, with properties calculated at the GGA-PBE level.

Cell and atoms, written as POSCAR:
```
CuSbP2
1.0
4.506 -0.007 0.000
-1.260 4.327 0.000
0.000 0.000 3.651
Sb P Cu
1 2 1
Cartesian
2.253 -0.004 1.825
0.000 0.000 0.000
1.623 2.160 0.000
-0.630 2.163 1.825
```

Computed properties:
ΔE_f (raw) ... 2.238 eV/f.u.
Magnetic moment ... 0.000 μB/atom
SG ... Cmmm (65)
N(E_F) ... 2.20 states/eV/f.u.

Below is a geometry-optimized CuSbP2 structure, with properties calculated at the GGA-PBE level.

Cell and atoms, written as POSCAR:
```
CuSbP2
1.0
3.366 0.000 0.000
0.000 4.184 0.000
0.000 0.000 4.936
P Cu Sb
2 1 1
Cartesian
1.683 2.092 0.000
0.000 0.000 0.000
0.000 2.092 2.468
1.683 0.000 2.468
```

Computed properties:
ΔE_f (raw) ... 2.363 eV/f.u.
Magnetic moment ... 0.000 μB/atom
SG ... Pmmm (47)
N(E_F) ... 1.93 states/eV/f.u.

Below is a geometry-optimized Cu2SbP structure, with properties calculated at the GGA-PBE level.

Cell and atoms, written as POSCAR:
```
Cu2SbP
1.0
5.843 -0.057 -0.035
4.593 3.612 -0.035
4.593 1.565 3.255
Cu P Sb
2 1 1
Cartesian
0.466 0.159 0.099
12.080 4.115 2.560
6.227 2.121 1.320
3.772 1.285 0.799
```

Computed properties:
Relative energy among the computed polymorphs ... 0.0000 eV/atom
ΔE_f (raw) ... 0.428 eV/f.u.
Magnetic moment ... 0.000 μB/atom
SG ... R3m (160)
N(E_F) ... 1.28 states/eV/f.u.